Record 1
First-principles (PBE) data for crystalline InAgTe2 at its relaxed geometry, as listed in Alexandria via LeMat-Bulk.

Output
formation energy from raw total energies = -0.087 eV/atom
space group = No. 160

a b c (Å): 4.209 4.209 7.704
angles (deg): 74.15 74.15 60.00
Sites, in units of the cell vectors:
Te 0.076 0.076 0.771
Te 0.255 0.255 0.235
In 0.500 0.500 0.500
Ag 0.669 0.669 0.994



Record 2
First-principles (PBE) data for crystalline ScSb2Rh at its relaxed geometry, as listed in Alexandria via LeMat-Bulk.

Output
formation energy from raw total energies = -0.314 eV/atom
space group = No. 160

a b c (Å): 9.310 9.310 9.310
angles (deg): 20.94 20.94 20.94
Sites, in units of the cell vectors:
Sc 0.489 0.489 0.489
Sb 0.243 0.243 0.243
Sb 0.017 0.017 0.017
Rh 0.751 0.751 0.751



Record 3
First-principles (PBE) data for crystalline AlSb2Pt2 at its relaxed geometry, as listed in Alexandria via LeMat-Bulk.

Output
formation energy from raw total energies = -0.235 eV/atom
space group = No. 127

a b c (Å): 6.898 6.898 4.246
angles (deg): 90.00 90.00 90.00
Sites, in units of the cell vectors:
Al 0.500 0.500 0.000
Sb 0.668 0.832 0.500
Pt 0.852 0.648 0.000
Pt 0.148 0.352 0.000
Pt 0.648 0.148 0.000
Sb 0.168 0.668 0.500
Al 0.000 0.000 0.000
Pt 0.352 0.852 0.000
Sb 0.332 0.168 0.500
Sb 0.832 0.332 0.500



Record 4
First-principles (PBE) data for crystalline TbGdErGa at its relaxed geometry, as listed in Alexandria via LeMat-Bulk.

Output
ΔE_f = -0.1087 eV/atom
space group = No. 216

a b c (Å): 5.322 5.322 5.322
angles (deg): 60.00 60.00 60.00
Last column: magnetic moment on the atom in μB.
Sites, in units of the cell vectors:
Ga 0.750 0.750 0.750  -0.01
Tb 0.500 0.500 0.500  0.23
Er 0.250 0.250 0.250  0.33
Gd 0.000 0.000 0.000  7.28



Record 5
First-principles (PBE) data for crystalline NbRuSN2 at its relaxed geometry, as listed in Alexandria via LeMat-Bulk.

Output
energy above the lowest structure with this stoichiometry = 0 meV per atom
formation energy from raw total energies = 0.797 eV/atom
space group = No. 123

a b c (Å): 3.806 3.806 4.887
angles (deg): 90.00 90.00 90.00
Last column: magnetic moment on the atom in μB.
Sites, in units of the cell vectors:
S 0.000 0.000 0.500  -0.04
Nb 0.500 0.500 0.500  1.85
Ru 0.000 0.000 0.000  0.29
N 0.000 0.500 0.000  -0.19
N 0.500 0.000 0.000  -0.19



Record 6
First-principles (PBE) data for crystalline La2Pm2HoTm at its relaxed geometry, as listed in Alexandria via LeMat-Bulk.

Output
ΔE_f = 0.0583 eV/atom
space group = No. 26

a b c (Å): 5.729 7.105 9.950
angles (deg): 90.00 90.00 90.00
Sites, in units of the cell vectors:
Pm 0.000 0.757 0.166
Tm 0.500 0.757 0.343
La 0.000 0.258 0.177
Pm 0.000 0.257 0.834
Tm 0.500 0.257 0.657
La 0.500 0.508 0.999
Ho 0.000 0.007 0.500
Pm 0.500 0.758 0.667
Pm 0.500 0.258 0.333
La 0.000 0.758 0.823
La 0.500 0.008 0.001
Ho 0.000 0.507 0.500



no.,VASP energy (eV/cell)
1,-12.2
2,-23.2
3,-50.5
4,-26.7
5,-36.1
6,-56.1